(1)
# BSb2AsI

Crystalline BSb2AsI at its relaxed geometry (GGA-PBEsol, Alexandria).

Lattice parameters (Å, degrees): 4.7136 4.8745 4.8745 90.00 90.00 90.00
Positions (direct):
1 I 0.5000 0.0000 0.0000
2 Sb 0.0000 0.0000 0.5000
3 Sb 0.0000 0.5000 0.0000
4 As 0.5000 0.5000 0.5000
5 B 0.0000 0.0000 0.0000

Computed properties:
Uncorrected formation energy ... 82 kJ/mol of atoms

(2)
# BTeAsI2

Crystalline BTeAsI2 at its relaxed geometry (GGA-PBEsol, Alexandria).

Lattice parameters (Å, degrees): 4.8704 4.8704 4.9596 90.00 90.00 90.00
Positions (direct):
1 I 0.0000 0.5000 0.0000
2 I 0.5000 0.0000 0.0000
3 Te 0.0000 0.0000 0.5000
4 B 0.0000 0.0000 0.0000
5 As 0.5000 0.5000 0.5000

Computed properties:
Uncorrected formation energy ... 83 kJ/mol of atoms

(3)
# InBAs3

Crystalline InBAs3 at its relaxed geometry (GGA-PBEsol, Alexandria).

Lattice parameters (Å, degrees): 4.4622 4.4622 4.4622 90.00 90.00 90.00
Positions (direct):
1 As 0.0000 0.0000 0.5000
2 As 0.5000 0.0000 0.0000
3 As 0.0000 0.5000 0.0000
4 In 0.5000 0.5000 0.5000
5 B 0.0000 0.0000 0.0000

Computed properties:
DFT formation energy ... 620.0 meV/atom

(4)
# BAsIr2

Crystalline BAsIr2 at its relaxed geometry (GGA-PBEsol, Alexandria).

Lattice parameters (Å, degrees): 4.1456 4.1456 4.1456 60.00 60.00 60.00
Site moments in Bohr magnetons follow the coordinates.
Positions (direct):
1 Ir 0.2500 0.2500 0.2500  0.13
2 Ir 0.7500 0.7500 0.7500  0.13
3 B 0.0000 0.0000 0.0000  0.01
4 As 0.5000 0.5000 0.5000  0.01

Computed properties:
DFT formation energy ... 518.1 meV/atom

(5)
# BAs3Ir

Crystalline BAs3Ir at its relaxed geometry (GGA-PBEsol, Alexandria).

Lattice parameters (Å, degrees): 4.2175 4.2175 4.2175 90.00 90.00 90.00
Positions (direct):
1 As 0.0000 0.0000 0.5000
2 As 0.0000 0.5000 0.0000
3 As 0.5000 0.0000 0.0000
4 B 0.0000 0.0000 0.0000
5 Ir 0.5000 0.5000 0.5000

Computed properties:
DFT formation energy ... 840.5 meV/atom

(6)
# B2AsIrPt

Crystalline B2AsIrPt at its relaxed geometry (GGA-PBEsol, Alexandria).

Lattice parameters (Å, degrees): 3.8508 3.8508 5.4714 90.00 90.00 90.00
Positions (direct):
1 Pt 0.0000 0.0000 0.0000
2 Ir 0.0000 0.0000 0.5000
3 As 0.5000 0.5000 0.5000
4 B 0.5000 0.0000 0.0000
5 B 0.0000 0.5000 0.0000

Computed properties:
DFT formation energy ... 1016.7 meV/atom

(7)
# KBAs3

Crystalline KBAs3 at its relaxed geometry (GGA-PBEsol, Alexandria).

Lattice parameters (Å, degrees): 4.5930 4.5930 4.5930 90.00 90.00 90.00
Positions (direct):
1 K 0.5000 0.5000 0.5000
2 As 0.0000 0.0000 0.5000
3 As 0.5000 0.0000 0.0000
4 As 0.0000 0.5000 0.0000
5 B 0.0000 0.0000 0.0000

Computed properties:
DFT formation energy ... 556.9 meV/atom

(8)
# K3BAs

Crystalline K3BAs at its relaxed geometry (GGA-PBEsol, Alexandria).

Lattice parameters (Å, degrees): 6.2530 6.2530 6.2530 90.00 90.00 90.00
Site moments in Bohr magnetons follow the coordinates.
Positions (direct):
1 K 0.5000 0.0000 0.0000  0.00
2 K 0.0000 0.5000 0.0000  0.00
3 K 0.0000 0.0000 0.5000  0.00
4 As 0.0000 0.0000 0.0000  -0.27
5 B 0.5000 0.5000 0.5000  0.49

Computed properties:
DFT formation energy ... 968.6 meV/atom

(9)
# Li2BAs2

Crystalline Li2BAs2 at its relaxed geometry (GGA-PBEsol, Alexandria).

Lattice parameters (Å, degrees): 4.1807 6.0258 6.0258 90.00 90.00 90.00
Positions (direct):
1 As 0.0000 0.6619 0.1619
2 As 0.0000 0.8381 0.6619
3 As 0.0000 0.3381 0.8381
4 As 0.0000 0.1619 0.3381
5 B 0.0000 0.5000 0.5000
6 B 0.0000 0.0000 0.0000
7 Li 0.5000 0.6597 0.8403
8 Li 0.5000 0.3403 0.1597
9 Li 0.5000 0.1597 0.6597
10 Li 0.5000 0.8403 0.3403

Computed properties:
DFT formation energy ... 96.3 meV/atom

(10)
# Li2MnBAsO7

Crystalline Li2MnBAsO7 at its relaxed geometry (GGA-PBEsol, Alexandria).

Lattice parameters (Å, degrees): 5.0928 6.2862 8.6471 90.00 94.03 90.00
Site moments in Bohr magnetons follow the coordinates.
Positions (direct):
1 Li 0.7678 0.5205 0.1920  0.00
2 Li 0.2322 0.0205 0.8080  0.00
3 Li 0.2322 0.4795 0.8080  0.00
4 Li 0.7678 0.9795 0.1920  0.00
5 As 0.2775 0.2500 0.4293  0.03
6 As 0.7225 0.7500 0.5707  0.03
7 O 0.8624 0.7500 0.3975  0.01
8 O 0.7015 0.2500 0.0960  -0.05
9 O 0.5329 0.2500 0.8227  -0.01
10 O 0.1809 0.4539 0.3088  0.01
11 O 0.2985 0.7500 0.9040  -0.05
12 O 0.1376 0.2500 0.6025  0.01
13 O 0.0253 0.7500 0.1259  -0.02
14 O 0.4671 0.7500 0.1773  -0.01
15 O 0.9747 0.2500 0.8741  -0.02
16 O 0.3887 0.7500 0.5237  0.04
17 O 0.8191 0.9539 0.6912  0.01
18 O 0.6113 0.2500 0.4763  0.04
19 O 0.8191 0.5461 0.6912  0.01
20 O 0.1809 0.0461 0.3088  0.01
21 Mn 0.2094 0.7500 0.3222  2.78
22 Mn 0.7906 0.2500 0.6778  2.78
23 B 0.2670 0.7500 0.0537  0.02
24 B 0.7330 0.2500 0.9463  0.02

Computed properties:
Uncorrected formation energy ... -172 kJ/mol of atoms

(11)
# Li3MnBAsO7

Crystalline Li3MnBAsO7 at its relaxed geometry (GGA-PBEsol, Alexandria).

Lattice parameters (Å, degrees): 4.9231 6.3206 8.7410 90.00 93.19 90.00
Site moments in Bohr magnetons follow the coordinates.
Positions (direct):
1 O 0.3282 0.9493 0.2024  0.01
2 O 0.5100 0.2500 0.4220  0.06
3 O 0.6505 0.2500 0.0988  0.01
4 O 0.6718 0.0507 0.7976  0.01
5 O 0.9534 0.7500 0.6674  0.00
6 O 0.3282 0.5507 0.2024  0.01
7 O 0.3495 0.7500 0.9012  0.01
8 O 0.1217 0.2500 0.9537  0.07
9 O 0.4900 0.7500 0.5780  0.06
10 O 0.8507 0.7500 0.3966  0.00
11 O 0.1493 0.2500 0.6034  0.00
12 O 0.8783 0.7500 0.0463  0.07
13 O 0.0466 0.2500 0.3326  0.00
14 O 0.6718 0.4493 0.7976  0.01
15 Mn 0.7091 0.7500 0.8230  3.59
16 Mn 0.2909 0.2500 0.1770  3.59
17 Li 0.2580 0.9776 0.7036  0.00
18 Li 0.7525 0.2500 0.6032  0.00
19 Li 0.7420 0.4776 0.2964  0.00
20 Li 0.2475 0.7500 0.3968  0.00
21 Li 0.2580 0.5224 0.7036  0.00
22 Li 0.7420 0.0224 0.2964  0.00
23 As 0.2208 0.7500 0.0787  0.04
24 As 0.7792 0.2500 0.9213  0.04
25 B 0.7594 0.7500 0.5402  0.01
26 B 0.2406 0.2500 0.4598  0.01

Computed properties:
Uncorrected formation energy ... -179 kJ/mol of atoms

(12)
# LiTaBAs2

Crystalline LiTaBAs2 at its relaxed geometry (GGA-PBEsol, Alexandria).

Lattice parameters (Å, degrees): 4.2686 4.3937 4.3937 90.00 90.00 90.00
Positions (direct):
1 B 0.0000 0.0000 0.0000
2 As 0.0000 0.5000 0.0000
3 As 0.0000 0.0000 0.5000
4 Li 0.5000 0.5000 0.5000
5 Ta 0.5000 0.0000 0.0000

Computed properties:
DFT formation energy ... 614.1 meV/atom

no.,VASP energy (Ry per atom),density (g cm⁻³),total magnetic moment (Bohr magnetons per cell)
1,-0.276,6.8,0.0
2,-0.219,6.6,0.0
3,-0.327,6.5,0.0
4,-0.546,15.5,0.3
5,-0.411,9.5,0.0
6,-0.453,9.9,0.0
7,-0.304,4.7,0.0
8,-0.157,1.4,1.0
9,-0.304,3.8,0.0
10,-0.514,3.2,5.9
11,-0.501,3.3,8.0
12,-0.422,7.0,0.0